Record 1
Compound: ZrCo2ReC
Source: Alexandria
Functional: GGA-PBE
Structure: optimized geometry

POSCAR file:
```
ZrCo2ReC
1.0
-0.928 -3.779 -0.505
2.730 -0.296 -2.802
2.778 -1.059 2.818
Zr Co Re C
1 2 1 1
direct
0.500 0.500 0.500
0.500 0.000 0.000
0.000 0.500 0.000
0.000 0.000 0.500
0.000 0.000 0.000
```

Calculated values
formation energy = -0.75 eV per formula unit

Record 2
Compound: Ba6Rh2I3O
Source: Alexandria
Functional: GGA-PBE
Structure: optimized geometry

POSCAR file:
```
Ba6Rh2I3O
1.0
-7.236 2.608 -0.879
1.545 -7.523 -0.976
0.402 0.264 8.875
Ba I O Rh
6 3 1 2
direct
0.751 0.751 0.190
0.625 0.937 0.812
0.937 0.625 0.812
0.249 0.249 0.810
0.375 0.063 0.188
0.063 0.375 0.188
0.828 0.172 0.500
0.172 0.828 0.500
0.500 0.500 0.500
0.000 0.000 0.000
0.666 0.334 0.000
0.334 0.666 0.000
```

Calculated values
energy relative to the elements, uncorrected = -1.170 eV per atom

Record 3
Compound: HgAuSe2
Source: Alexandria
Functional: GGA-PBE
Structure: optimized geometry

POSCAR file:
```
HgAuSe2
1.0
6.380 0.001 -0.010
3.558 5.296 0.010
-4.816 -2.935 2.983
Se Au Hg
2 1 1
direct
0.591 0.591 0.000
0.909 0.909 0.000
0.750 0.250 0.500
0.250 0.750 0.500
```

Calculated values
energy relative to the elements, uncorrected = 0.155 eV per atom

Record 4
Compound: BaLa2Sm
Source: Alexandria
Functional: GGA-PBE
Structure: optimized geometry

POSCAR file:
```
BaLa2Sm
1.0
-0.854 0.604 3.669
2.032 -3.077 0.980
9.100 6.351 1.073
La Sm Ba
2 1 1
direct
0.000 0.000 0.783
0.000 0.000 0.217
0.500 0.500 0.000
0.500 0.500 0.500
```

Calculated values
formation energy = 0.38 eV per formula unit
ΔE to the lowest computed polymorph = 0 meV/atom

Record 5
Compound: EuTmZn
Source: Alexandria
Functional: GGA-PBE
Structure: optimized geometry

POSCAR file:
```
EuTmZn
1.0
3.644 0.000 0.000
0.000 3.644 0.000
-1.822 -1.822 6.306
Eu Tm Zn
1 1 1
direct
0.021 0.021 0.042
0.299 0.299 0.598
0.680 0.680 0.360
```

Calculated values
formation energy = -0.51 eV per formula unit
ΔE to the lowest computed polymorph = 0 meV/atom

Record 6
Compound: RbZn
Source: Alexandria
Functional: GGA-PBE
Structure: optimized geometry

POSCAR file:
```
RbZn
1.0
7.366 0.000 0.000
0.000 7.366 0.000
0.000 0.000 7.366
Rb Zn
4 4
direct
0.500 0.500 0.500
0.500 0.000 0.000
0.000 0.500 0.000
0.000 0.000 0.500
0.500 0.500 0.000
0.000 0.500 0.500
0.000 0.000 0.000
0.500 0.000 0.500
```

Calculated values
formation energy = 0.64 eV per formula unit

Record 7
Compound: YC4
Source: Alexandria
Functional: GGA-PBE
Structure: optimized geometry

POSCAR file:
```
YC4
1.0
-1.669 1.669 4.086
1.669 -1.669 4.086
1.669 1.669 -4.086
C Y
4 1
direct
0.700 0.700 0.000
0.250 0.750 0.500
0.750 0.250 0.500
0.300 0.300 0.000
0.000 0.000 0.000
```

Calculated values
formation energy = 6.62 eV per formula unit
ΔE to the lowest computed polymorph = 575 meV/atom

Record 8
Compound: ZnGe2Pt2
Source: Alexandria
Functional: GGA-PBE
Structure: optimized geometry

POSCAR file:
```
ZnGe2Pt2
1.0
-2.387 -4.458 4.861
-1.760 -4.552 -5.038
3.176 -1.466 0.215
Ge Pt Zn
4 4 2
direct
0.652 0.848 0.500
0.152 0.652 0.500
0.348 0.152 0.500
0.848 0.348 0.500
0.848 0.652 0.000
0.152 0.348 0.000
0.348 0.848 0.000
0.652 0.152 0.000
0.500 0.500 0.000
0.000 0.000 0.000
```

Calculated values
formation energy = -0.97 eV per formula unit
ΔE to the lowest computed polymorph = 166 meV/atom

Record 9
Compound: Li2Tm2Tl3
Source: Alexandria
Functional: GGA-PBE
Structure: optimized geometry

POSCAR file:
```
Li2Tm2Tl3
1.0
-4.134 0.202 1.514
0.832 -2.059 2.547
0.641 8.887 6.977
Tl Li Tm
3 2 2
direct
0.161 0.000 0.678
0.000 0.000 0.000
0.839 0.000 0.322
0.717 0.500 0.566
0.283 0.500 0.434
0.423 0.500 0.154
0.577 0.500 0.846
```

Calculated values
formation energy = -1.55 eV per formula unit

Record 10
Compound: ScTcTe2
Source: Alexandria
Functional: GGA-PBE
Structure: optimized geometry

POSCAR file:
```
ScTcTe2
1.0
-4.122 -3.648 1.352
3.849 -3.533 2.199
-0.873 -0.353 8.266
Te Sc Tc
4 2 2
direct
0.662 0.125 0.250
0.375 0.338 0.750
0.875 0.912 0.750
0.088 0.625 0.250
0.500 0.500 0.000
0.250 0.750 0.500
0.000 0.000 0.000
0.750 0.250 0.500
```

Calculated values
ΔE to the lowest computed polymorph = 365 meV/atom
energy relative to the elements, uncorrected = -0.026 eV per atom

Record 11
Compound: MnCrIn
Source: Alexandria
Functional: GGA-PBE
Structure: optimized geometry

POSCAR file:
```
MnCrIn
1.0
4.348 0.000 0.000
2.174 3.765 0.000
2.174 1.255 3.550
Cr In Mn
1 1 1
direct
0.000 0.000 0.000
0.500 0.500 0.500
0.750 0.750 0.750
```

Calculated values
formation energy = 1.63 eV per formula unit

Record 12
Compound: ScCrAg2
Source: Alexandria
Functional: GGA-PBE
Structure: optimized geometry

POSCAR file:
```
ScCrAg2
1.0
-5.202 7.546 2.217
-6.919 6.407 -0.014
-7.225 5.363 2.821
Ag Sc Cr
2 1 1
direct
0.999 0.999 0.999
0.248 0.248 0.248
0.753 0.753 0.753
0.500 0.500 0.500
```

Calculated values
formation energy = 1.16 eV per formula unit
ΔE to the lowest computed polymorph = 204 meV/atom